! AlH15N5Cl3, relaxed, DFT GGA-PBEsol; values from VASP
&SYSTEM
  ibrav = 0, nat = 96, ntyp = 4
/
ATOMIC_SPECIES
N 14.01 N.upf
Cl 35.45 Cl.upf
H 1.01 H.upf
Al 26.98 Al.upf
CELL_PARAMETERS angstrom
-0.993 3.975 -4.967
2.793 -7.640 -6.673
-12.645 -4.020 -0.690
ATOMIC_POSITIONS angstrom
N -5.890 -3.668 -2.413
N -7.690 -4.870 -10.086
N 0.092 -0.294 -3.773
N -5.321 -0.904 -2.156
N 0.701 -4.382 -10.316
N -6.596 -3.849 -7.613
N -11.546 -3.304 -2.014
N -4.956 -4.017 -9.917
N -3.155 -2.816 -2.244
N -4.249 -3.837 -4.717
N -7.184 -6.654 -7.831
N -10.937 -7.392 -8.557
N -0.371 -1.449 -7.755
N -5.524 -6.782 -10.174
N -1.019 -4.256 -7.996
N -10.474 -6.237 -4.575
N -10.425 -1.275 -7.052
N -9.826 -3.430 -4.333
N -0.420 -6.411 -5.278
N -3.661 -1.032 -4.499
Cl -4.266 -5.836 -7.546
Cl -7.101 -5.633 -4.701
Cl -0.647 1.724 -6.392
Cl -2.249 0.542 -1.678
Cl -8.597 -8.227 -10.652
Cl -6.579 -1.849 -4.784
Cl -9.954 -4.514 -7.409
Cl -2.387 -5.766 -10.871
Cl -0.891 -3.171 -4.921
Cl -3.744 -2.053 -7.628
Cl -10.198 -9.410 -5.938
Cl -8.458 -1.920 -1.459
H -1.047 -3.989 -6.990
H -11.164 -3.411 -1.058
H -5.771 -3.255 -7.408
H 0.319 -4.275 -11.272
H -2.288 -2.933 -10.042
H -6.758 -7.600 -7.893
H -6.273 -4.364 -3.087
H -0.179 -6.613 -6.269
H 0.444 -5.331 -9.992
H -4.131 -4.528 -10.297
H -3.642 -1.305 -5.501
H -3.932 0.143 -7.280
H 1.734 -4.385 -10.419
H -12.579 -3.301 -1.910
H -0.849 -1.795 -6.904
H -10.666 -1.072 -6.061
H -6.027 -6.747 -11.079
H -6.913 -7.828 -5.050
H -4.818 -0.938 -1.251
H -6.484 -0.236 -6.592
H -10.220 -2.291 -7.126
H -8.161 -6.746 -8.135
H -9.865 -6.964 -4.161
H -7.320 -3.212 -7.990
H -11.289 -2.355 -2.338
H -6.328 -1.002 -1.926
H -10.600 -6.512 -8.114
H -12.465 -3.617 -5.224
H -4.517 -6.684 -10.403
H -3.906 -3.499 -5.633
H -6.467 -9.047 -6.114
H -11.325 -6.730 -4.906
H -0.686 0.032 -3.162
H -0.625 -5.394 -5.204
H -0.602 -5.208 -8.055
H -10.244 -2.478 -4.275
H -4.361 -7.450 -5.738
H -6.714 -3.157 -2.033
H -6.939 -4.186 -6.696
H -0.980 -0.722 -8.169
H -4.088 -0.086 -4.437
H -8.584 -5.351 -9.909
H 0.480 -0.956 -7.424
H -5.075 -4.431 -4.922
H -4.378 1.362 -6.215
H -8.841 -3.314 -4.054
H -9.997 -5.891 -5.426
H -5.640 -7.739 -9.800
H 1.620 -4.069 -7.106
H -2.685 -0.940 -4.195
H -10.159 -7.718 -9.168
H -9.798 -3.697 -5.340
H -7.203 -6.381 -6.828
H -3.526 -4.474 -4.339
H -2.004 -4.372 -8.276
H -8.557 -4.753 -2.288
H -4.572 -3.322 -9.243
H -0.245 -1.174 -4.216
H -2.261 -2.335 -2.421
H -5.205 0.054 -2.530
Al -10.955 -4.748 -3.297
Al -6.118 -5.328 -8.902
Al -4.728 -2.357 -3.427
Al 0.110 -2.938 -9.033
! - Magnetic moment: 0.000 μB/cell
! - E: -478.3 eV/cell
! - Mass density: 1.6 g/cm3
! - DOS at the Fermi energy: 0.0000 states/eV per atom